1.
First-principles (PBE) data for an optimized crystal structure of Li2GaP2Rh5, as listed in Alexandria.

crystal system: tetragonal
ΔE_f: -0.66 eV/atom

a b c (Å): 3.1863 9.4725 9.4725
angles (deg): 90.00 90.00 90.00
Last column: nearest neighbours and their distance in Å.
Sites, in units of the cell vectors:
Li (0.0000, 0.6706, 0.1706)  3 P 2.66-2.88, 6 Rh 2.79-2.92
Li (0.0000, 0.3294, 0.8294)  3 P 2.66-2.88, 6 Rh 2.79-2.92
Li (0.0000, 0.1706, 0.3294)  3 P 2.66-2.88, 6 Rh 2.79-2.92
Li (0.0000, 0.8294, 0.6706)  3 P 2.66-2.88, 6 Rh 2.79-2.92
Ga (0.0000, 0.0000, 0.0000)  8 Rh 2.61
Ga (0.0000, 0.5000, 0.5000)  8 Rh 2.61
P (0.0000, 0.1308, 0.6308)  6 Rh 2.28-2.37
P (0.0000, 0.8692, 0.3692)  6 Rh 2.28-2.37
P (0.0000, 0.6308, 0.8692)  6 Rh 2.28-2.37
P (0.0000, 0.3692, 0.1308)  6 Rh 2.28-2.37
Rh (0.5000, 0.2061, 0.0737)  2 P 2.28
Rh (0.5000, 0.7939, 0.9263)  2 P 2.28
Rh (0.5000, 0.0737, 0.7939)  2 P 2.28
Rh (0.5000, 0.7061, 0.4263)  2 P 2.28
Rh (0.5000, 0.9263, 0.2061)  2 P 2.28
Rh (0.5000, 0.2939, 0.5737)  2 P 2.28
Rh (0.5000, 0.5737, 0.7061)  2 P 2.28
Rh (0.5000, 0.4263, 0.2939)  2 P 2.28
Rh (0.5000, 0.5000, 0.0000)  4 P 2.37
Rh (0.5000, 0.0000, 0.5000)  4 P 2.37

2.
First-principles (PBE) data for an optimized crystal structure of MgOsI3, as listed in Alexandria.

ΔE_f (raw): 0.530 eV/atom
crystal system: cubic

a b c (Å): 5.4460 5.4460 5.4460
angles (deg): 90.00 90.00 90.00
Last column: nearest neighbours and their distance in Å.
Sites, in units of the cell vectors:
I (0.0000, 0.5000, 0.0000)  2 Os 2.72
I (0.0000, 0.0000, 0.5000)  2 Os 2.72
I (0.5000, 0.0000, 0.0000)  2 Os 2.72
Mg (0.5000, 0.5000, 0.5000)  12 I 3.85
Os (0.0000, 0.0000, 0.0000)  6 I 2.72

3.
First-principles (PBE) data for an optimized crystal structure of DyInTe2, as listed in Alexandria.

ΔE_f (raw): -0.952 eV/atom
crystal system: trigonal

a b c (Å): 4.3885 4.3885 8.6747
angles (deg): 75.35 75.35 60.00
Last column: nearest neighbours and their distance in Å.
Sites, in units of the cell vectors:
Dy (0.6672, 0.6672, 0.9985)  6 Te 3.10
In (0.4991, 0.4991, 0.5028)  6 Te 3.44-3.48
Te (0.0720, 0.0720, 0.7840)  3 Dy 3.10, 3 In 3.44
Te (0.2618, 0.2618, 0.2147)  3 Dy 3.10

4.
First-principles (PBE) data for an optimized crystal structure of ZnCl3, as listed in Alexandria.

ΔE_f (raw): -0.209 eV/atom
crystal system: tetragonal

a b c (Å): 3.1078 3.1078 10.3382
angles (deg): 90.00 90.00 90.00
Last column: nearest neighbours and their distance in Å.
Sites, in units of the cell vectors:
Zn (0.5000, 0.5000, 0.7500)  8 Cl 2.67
Cl (0.0000, 0.0000, 0.8973)  4 Zn 2.67
Cl (0.5000, 0.5000, 0.2500)  4 Cl 3.11
Cl (0.0000, 0.0000, 0.6027)  4 Zn 2.67

5.
First-principles (PBE) data for an optimized crystal structure of CsRbBiPb, as listed in Alexandria.

offset from the most stable computed form: 0.000 eV per atom
crystal system: orthorhombic
ΔE_f: -0.28 eV/atom

a b c (Å): 4.7981 6.0223 7.6374
angles (deg): 113.23 90.00 90.00
Last column: nearest neighbours and their distance in Å.
Sites, in units of the cell vectors:
Cs (0.5000, 0.0987, 0.0637)  4 Bi 4.00, 3 Pb 4.01-4.25
Rb (0.0000, 0.8182, 0.5028)  4 Pb 3.96, 3 Bi 4.14-4.17
Bi (0.0000, 0.5211, 0.9088)  2 Pb 3.07
Pb (0.5000, 0.3846, 0.6355)  2 Bi 3.07

6.
First-principles (PBE) data for an optimized crystal structure of Fe3Co3Ge2, as listed in Alexandria.

offset from the most stable computed form: 0.000 eV per atom
crystal system: orthorhombic
ΔE_f: -0.12 eV/atom

a b c (Å): 3.9676 3.9725 5.9915
angles (deg): 90.00 90.00 90.00
Last column: nearest neighbours and their distance in Å.
Sites, in units of the cell vectors:
Fe (0.5000, 0.5000, 0.2481)  2 Fe 2.48, 6 Co 2.48-2.49
Fe (0.5000, 0.5000, 0.7519)  2 Fe 2.48, 6 Co 2.48-2.49
Fe (0.0000, 0.5000, 0.0000)  4 Fe 2.48, 4 Ge 2.49
Co (0.0000, 0.5000, 0.5000)  4 Ge 2.49, 4 Fe 2.49
Co (0.5000, 0.0000, 0.0000)  4 Fe 2.48, 4 Ge 2.49
Co (0.5000, 0.0000, 0.5000)  4 Ge 2.48, 4 Fe 2.49
Ge (0.0000, 0.0000, 0.2505)  6 Co 2.48-2.49, 2 Fe 2.49
Ge (0.0000, 0.0000, 0.7495)  6 Co 2.48-2.49, 2 Fe 2.49

7.
First-principles (PBE) data for an optimized crystal structure of TiGa2C2, as listed in Alexandria.

offset from the most stable computed form: 0.000 eV per atom
crystal system: tetragonal
ΔE_f: 1.01 eV/atom

a b c (Å): 3.9911 3.9911 4.7772
angles (deg): 65.31 65.31 90.00
Last column: nearest neighbours and their distance in Å.
Sites, in units of the cell vectors:
C (0.7500, 0.2500, 0.5000)  4 Ga 2.12
C (0.2500, 0.7500, 0.5000)  4 Ga 2.12
Ga (0.3417, 0.3417, 0.3165)  4 C 2.12
Ga (0.6583, 0.6583, 0.6835)  4 C 2.12
Ti (0.0000, 0.0000, 0.0000)  2 Ga 2.63, 8 C 2.77

8.
First-principles (PBE) data for an optimized crystal structure of Al2Ga2Ag3, as listed in Alexandria.

offset from the most stable computed form: 0.000 eV per atom
crystal system: triclinic
ΔE_f: 0.02 eV/atom

a b c (Å): 4.4153 6.5691 5.1828
angles (deg): 67.55 90.10 109.49
Last column: nearest neighbours and their distance in Å.
Sites, in units of the cell vectors:
Al (0.6242, 0.2494, 0.9837)  5 Ag 2.67-2.84, 2 Ga 2.90-2.91
Al (0.3758, 0.7506, 0.0163)  5 Ag 2.67-2.84, 2 Ga 2.90-2.91
Ga (0.8841, 0.7724, 0.6425)  1 Ga 2.60, 4 Ag 2.70-2.85, 2 Al 2.90-2.91
Ga (0.1159, 0.2276, 0.3575)  1 Ga 2.60, 4 Ag 2.70-2.85, 2 Al 2.90-2.91
Ag (0.0000, 0.0000, 0.0000)  4 Al 2.67-2.68, 2 Ga 2.74, 2 Ag 2.94
Ag (0.7438, 0.4865, 0.3289)  3 Ga 2.70-2.85, 3 Al 2.74-2.84, 3 Ag 2.87-2.94
Ag (0.2562, 0.5135, 0.6711)  3 Ga 2.70-2.85, 3 Al 2.74-2.84, 3 Ag 2.87-2.94

9.
First-principles (PBE) data for an optimized crystal structure of TcBiPt3, as listed in Alexandria.

offset from the most stable computed form: 0.000 eV per atom
crystal system: cubic
ΔE_f: 0.88 eV/atom

a b c (Å): 4.8392 4.8392 4.8392
angles (deg): 90.00 90.00 90.00
Last column: nearest neighbours and their distance in Å.
Sites, in units of the cell vectors:
Bi (0.5000, 0.5000, 0.5000)  12 Pt 3.42
Pt (0.0000, 0.5000, 0.0000)  2 Tc 2.42
Pt (0.0000, 0.0000, 0.5000)  2 Tc 2.42
Pt (0.5000, 0.0000, 0.0000)  2 Tc 2.42
Tc (0.0000, 0.0000, 0.0000)  6 Pt 2.42

10.
First-principles (PBE) data for an optimized crystal structure of La4Nd7In, as listed in Alexandria.

crystal system: monoclinic
ΔE_f: 0.11 eV/atom

a b c (Å): 6.1028 9.0407 9.3287
angles (deg): 67.62 70.91 70.27
Last column: nearest neighbours and their distance in Å.
Sites, in units of the cell vectors:
La (0.5748, 0.2908, 0.5597)  4 Nd 3.34-3.72, 1 La 3.39
La (0.4252, 0.7092, 0.4403)  4 Nd 3.34-3.72, 1 La 3.39
La (0.7794, 0.7509, 0.6902)  4 Nd 3.27-3.53
La (0.2206, 0.2491, 0.3098)  4 Nd 3.27-3.53
Nd (0.8138, 0.0344, 0.3379)  1 In 3.08, 2 La 3.30-3.34
Nd (0.1862, 0.9656, 0.6621)  1 In 3.08, 2 La 3.30-3.34
Nd (0.0484, 0.6468, 0.2563)  1 In 3.16, 1 La 3.27
Nd (0.9516, 0.3532, 0.7437)  1 In 3.16, 1 La 3.27
Nd (0.2963, 0.5262, 0.8812)  6 Nd 3.65-3.75, 5 La 3.72-3.94
Nd (0.5000, 0.0000, 0.0000)  2 In 3.05
Nd (0.7037, 0.4738, 0.1188)  6 Nd 3.65-3.75, 5 La 3.72-3.94
In (0.0000, 0.0000, 0.0000)  6 Nd 3.05-3.16

11.
First-principles (PBE) data for an optimized crystal structure of CaRu3Br, as listed in Alexandria.

ΔE_f (raw): 2.294 eV/atom
offset from the most stable computed form: 1.315 eV per atom
crystal system: cubic

a b c (Å): 4.9417 4.9417 4.9417
angles (deg): 90.00 90.00 90.00
Last column: nearest neighbours and their distance in Å.
Sites, in units of the cell vectors:
Ru (0.0000, 0.5000, 0.0000)  2 Ca 2.47
Ru (0.0000, 0.0000, 0.5000)  2 Ca 2.47
Ru (0.5000, 0.0000, 0.0000)  2 Ca 2.47
Ca (0.0000, 0.0000, 0.0000)  6 Ru 2.47
Br (0.5000, 0.5000, 0.5000)  12 Ru 3.49

12.
First-principles (PBE) data for an optimized crystal structure of Na2SrCa3, as listed in Alexandria.

crystal system: monoclinic
ΔE_f: 0.10 eV/atom

a b c (Å): 6.1408 9.2717 9.6619
angles (deg): 94.60 108.53 90.00
Last column: nearest neighbours and their distance in Å.
Sites, in units of the cell vectors:
Na (0.4673, 0.8312, 0.9346)  1 Na 3.26, 2 Ca 3.59-3.63
Na (0.5327, 0.1688, 0.0654)  1 Na 3.26, 2 Ca 3.59-3.63
Na (0.2360, 0.6580, 0.4719)  5 Ca 3.56-3.91, 3 Sr 3.72-3.80
Na (0.7640, 0.3420, 0.5281)  5 Ca 3.56-3.91, 3 Sr 3.72-3.80
Sr (0.1424, 0.2866, 0.2847)  5 Na 3.72-3.80, 3 Ca 4.01-4.13
Sr (0.8576, 0.7134, 0.7153)  5 Na 3.72-3.80, 3 Ca 4.01-4.13
Ca (0.6928, 0.9709, 0.3855)  2 Na 3.57-3.59, 5 Ca 3.73-3.87
Ca (0.0776, 0.8555, 0.1551)  3 Na 3.56-3.67, 2 Ca 3.83
Ca (0.3933, 0.4247, 0.7866)  5 Na 3.63-3.91, 2 Ca 3.87-4.04
Ca (0.6067, 0.5753, 0.2134)  5 Na 3.63-3.91, 2 Ca 3.87-4.04
Ca (0.9224, 0.1445, 0.8449)  3 Na 3.56-3.67, 2 Ca 3.83
Ca (0.3072, 0.0291, 0.6145)  2 Na 3.57-3.59, 5 Ca 3.73-3.87

What are the N(E_F) values for these records? In order: 0.2318; 1.0878; 0.0216; 0.6001; 0.7533; 0.4367; 0.5485; 0.3034; 0.8476; 1.4370; 1.2389; 0.8293 states/eV per atom.
What are the magnetic moment values for these records? In order: 0.0000; 0.1625; 0.0000; 0.0950; 0.0003; 1.3338; 0.1420; 0.0000; 0.0000; 0.0000; 1.2920; 0.0000 μB per atom.
What are the E values for these records? In order: -6.1037; -2.9646; -4.3579; -1.9122; -2.6343; -7.1115; -5.4720; -3.1356; -5.5963; -4.5467; -4.0060; -1.6216 eV per atom.